Entry 1:
Entry from the Open Quantum Materials Database: a geometry-optimized ScAgPd structure (PBE).

Results
Total DFT energy (no corrections) = -4.92 eV/atom
Space-group type = No. 216
ΔE to the lowest computed polymorph = 220 meV/atom

The structure in extended XYZ format:
```
3
Lattice="3.574 -1.763 1.987 0.054 -0.532 4.421 -0.217 -4.088 1.753" Properties=species:S:1:pos:R:3 pbc="T T T"
Ag 0.853 -1.596 2.040
Pd 2.559 -4.787 6.121
Sc 0.000 0.000 0.000
```

***

Entry 2:
Entry from the Open Quantum Materials Database: a geometry-optimized Er3ThBi4 structure (PBE).

Results
Total DFT energy (no corrections) = -5.43 eV/atom
Space-group type = No. 65

The structure in extended XYZ format:
```
8
Lattice="-2.708 5.021 5.232 -5.141 -5.697 -1.021 1.958 -2.353 3.271" Properties=species:S:1:pos:R:3 pbc="T T T"
Er -3.925 -0.338 2.106
Er -1.592 -4.025 1.125
Er -0.375 1.334 4.252
Bi -3.325 2.303 3.646
Bi -4.524 -2.979 0.565
Bi -4.846 -1.678 4.761
Bi -1.046 -1.351 2.722
Th 0.000 0.000 0.000
```

***

Entry 3:
Entry from the Open Quantum Materials Database: a geometry-optimized Zr3Ge structure (PBE).

Results
Total DFT energy (no corrections) = -7.95 eV/atom
Space-group type = No. 63

The structure in extended XYZ format:
```
8
Lattice="-2.228 6.132 -0.886 2.318 -3.323 -4.366 -4.564 -1.809 -1.046" Properties=species:S:1:pos:R:3 pbc="T T T"
Zr -2.753 0.610 -1.089
Zr 0.159 1.380 -3.083
Zr -1.015 3.188 -1.087
Zr 0.212 -0.188 -0.599
Zr -2.806 2.178 -3.572
Zr -1.579 -1.198 -3.084
Ge 1.361 -1.705 -2.991
Ge -1.637 0.371 -5.547
```